No. 1
# PBEsol Ag7Pt4, optimized geometry
# * theoretical density: 14.64 g/cm³
# * magnetic moment: 0.000 μB/f.u.
# * energy of formation: 0.1 eV per formula unit
data_Ag7Pt4
_symmetry_space_group_name_H-M 'P 1'
_symmetry_Int_Tables_number 1
_symmetry_space_group_name_Hall 'P 1'
_cell_length_a 4.8217
_cell_length_b 4.8877
_cell_length_c 7.5272
_cell_angle_alpha 96.00
_cell_angle_beta 90.93
_cell_angle_gamma 98.98
loop_
_atom_site_label
_atom_site_fract_x
_atom_site_fract_y
_atom_site_fract_z
Ag1 0.0000 0.0000 0.0000
Ag2 0.0876 0.5444 0.1861
Ag3 0.1805 0.0970 0.3663
Ag4 0.4555 0.7233 0.9101
Ag5 0.6309 0.8189 0.2717
Ag6 0.7230 0.3689 0.4536
Ag7 0.9070 0.4494 0.8165
Pt1 0.2754 0.6482 0.5555
Pt2 0.3608 0.1731 0.7247
Pt3 0.5411 0.2702 0.0846
Pt4 0.8178 0.9092 0.6347



No. 2
# PBEsol Ag7Pt5, optimized geometry
# * theoretical density: 15.19 g/cm³
# * magnetic moment: 0.000 μB/f.u.
# * energy of formation: 0.3 eV per formula unit
data_Ag7Pt5
_symmetry_space_group_name_H-M 'P m m m'
_symmetry_Int_Tables_number 47
_symmetry_space_group_name_Hall '-P 2 2'
_cell_length_a 3.9835
_cell_length_b 5.5972
_cell_length_c 8.4830
_cell_angle_alpha 90.00
_cell_angle_beta 90.00
_cell_angle_gamma 90.00
loop_
_atom_site_label
_atom_site_fract_x
_atom_site_fract_y
_atom_site_fract_z
Ag1 0.0000 0.0000 0.0000
Ag2 0.0000 0.5000 0.3343
Ag3 0.5000 0.2496 0.1675
Pt1 0.0000 0.0000 0.3412
Pt2 0.0000 0.5000 0.0000
Pt3 0.5000 0.2427 0.5000



No. 3
# PBEsol Ag5Pt7, optimized geometry
# * theoretical density: 17.02 g/cm³
# * magnetic moment: 0.000 μB/f.u.
# * energy of formation: 0.4 eV per formula unit
data_Ag5Pt7
_symmetry_space_group_name_H-M 'I m m m'
_symmetry_Int_Tables_number 71
_symmetry_space_group_name_Hall '-I 2 2'
_cell_length_a 3.9493
_cell_length_b 7.9057
_cell_length_c 11.9064
_cell_angle_alpha 90.00
_cell_angle_beta 90.00
_cell_angle_gamma 90.00
loop_
_atom_site_label
_atom_site_fract_x
_atom_site_fract_y
_atom_site_fract_z
Ag1 0.0000 0.0000 0.0000
Ag2 0.0000 0.2485 0.5000
Ag3 0.0000 0.5000 0.3373
Pt1 0.0000 0.0000 0.3321
Pt2 0.0000 0.2589 0.1701
Pt3 0.0000 0.5000 0.0000



No. 4
# PBEsol AgPt4, optimized geometry
# * theoretical density: 19.42 g/cm³
# * magnetic moment: 0.003 μB/f.u.
# * energy of formation: 0.2 eV per formula unit
data_AgPt4
_symmetry_space_group_name_H-M 'I m m m'
_symmetry_Int_Tables_number 71
_symmetry_space_group_name_Hall '-I 2 2'
_cell_length_a 2.7725
_cell_length_b 3.9329
_cell_length_c 13.9271
_cell_angle_alpha 90.00
_cell_angle_beta 90.00
_cell_angle_gamma 90.00
loop_
_atom_site_label
_atom_site_fract_x
_atom_site_fract_y
_atom_site_fract_z
Ag1 0.0000 0.0000 0.0000
Pt1 0.0000 0.0000 0.2012
Pt2 0.0000 0.0000 0.3986



No. 5
# PBEsol Ag3Pt2, optimized geometry
# * theoretical density: 15.03 g/cm³
# * magnetic moment: 0.000 μB/f.u.
# * energy of formation: 0.1 eV per formula unit
data_Ag3Pt2
_symmetry_space_group_name_H-M 'C 1 m 1'
_symmetry_Int_Tables_number 8
_symmetry_space_group_name_Hall 'C -2y'
_cell_length_a 14.4034
_cell_length_b 4.0021
_cell_length_c 5.5958
_cell_angle_alpha 90.00
_cell_angle_beta 102.15
_cell_angle_gamma 90.00
loop_
_atom_site_label
_atom_site_fract_x
_atom_site_fract_y
_atom_site_fract_z
Ag1 0.0000 0.0000 0.0000
Ag2 0.0010 0.0000 0.5016
Ag3 0.1007 0.5000 0.3069
Ag4 0.1025 0.5000 0.8032
Ag5 0.2009 0.0000 0.1068
Ag6 0.3012 0.5000 0.3990
Pt1 0.2049 0.0000 0.6118
Pt2 0.3030 0.5000 0.8976
Pt3 0.3995 0.0000 0.1936
Pt4 0.3998 0.0000 0.6974



No. 6
# PBEsol AgPt, optimized geometry
# * theoretical density: 13.72 g/cm³
# * magnetic moment: 0.001 μB/f.u.
# * energy of formation: 1.5 eV per formula unit
data_AgPt
_symmetry_space_group_name_H-M 'P 63/m m c'
_symmetry_Int_Tables_number 194
_symmetry_space_group_name_Hall '-P 6c 2c'
_cell_length_a 3.9040
_cell_length_b 3.9040
_cell_length_c 5.5556
_cell_angle_alpha 90.00
_cell_angle_beta 90.00
_cell_angle_gamma 120.00
loop_
_atom_site_label
_atom_site_fract_x
_atom_site_fract_y
_atom_site_fract_z
Ag1 0.0000 0.0000 0.0000
Pt1 0.3333 0.6667 0.2500



No. 7
# PBEsol Ag4Pt, optimized geometry
# * theoretical density: 12.95 g/cm³
# * magnetic moment: 0.000 μB/f.u.
# * energy of formation: -0.1 eV per formula unit
data_Ag4Pt
_symmetry_space_group_name_H-M 'R -3 m'
_symmetry_Int_Tables_number 166
_symmetry_space_group_name_Hall '-R 3 2"'
_cell_length_a 2.8160
_cell_length_b 2.8160
_cell_length_c 35.0948
_cell_angle_alpha 90.00
_cell_angle_beta 90.00
_cell_angle_gamma 120.00
loop_
_atom_site_label
_atom_site_fract_x
_atom_site_fract_y
_atom_site_fract_z
Ag1 0.0000 0.0000 0.1006
Ag2 0.0000 0.0000 0.2996
Pt1 0.0000 0.0000 0.5000



No. 8
# PBEsol AgPt, optimized geometry
# * theoretical density: 16.10 g/cm³
# * magnetic moment: 0.000 μB/f.u.
# * energy of formation: 0.1 eV per formula unit
data_AgPt
_symmetry_space_group_name_H-M 'P 1 2/c 1'
_symmetry_Int_Tables_number 13
_symmetry_space_group_name_Hall '-P 2yc'
_cell_length_a 6.8394
_cell_length_b 5.7101
_cell_length_c 4.8023
_cell_angle_alpha 90.00
_cell_angle_beta 91.25
_cell_angle_gamma 90.00
loop_
_atom_site_label
_atom_site_fract_x
_atom_site_fract_y
_atom_site_fract_z
Ag1 0.0000 0.1253 0.2500
Ag2 0.3322 0.3761 0.4140
Pt1 0.0000 0.3752 0.7500
Pt2 0.3362 0.1193 0.9098



No. 9
# PBEsol Ag5Pt7, optimized geometry
# * theoretical density: 16.97 g/cm³
# * magnetic moment: 0.001 μB/f.u.
# * energy of formation: 0.4 eV per formula unit
data_Ag5Pt7
_symmetry_space_group_name_H-M 'P 4 m m'
_symmetry_Int_Tables_number 99
_symmetry_space_group_name_Hall 'P 4 -2'
_cell_length_a 2.7610
_cell_length_b 2.7610
_cell_length_c 24.4555
_cell_angle_alpha 90.00
_cell_angle_beta 90.00
_cell_angle_gamma 90.00
loop_
_atom_site_label
_atom_site_fract_x
_atom_site_fract_y
_atom_site_fract_z
Ag1 0.0000 0.0000 0.0000
Ag2 0.0000 0.0000 0.1678
Ag3 0.0000 0.0000 0.3362
Ag4 0.0000 0.0000 0.5044
Ag5 0.5000 0.5000 0.9136
Pt1 0.0000 0.0000 0.6691
Pt2 0.0000 0.0000 0.8293
Pt3 0.5000 0.5000 0.0834
Pt4 0.5000 0.5000 0.2519
Pt5 0.5000 0.5000 0.4204
Pt6 0.5000 0.5000 0.5893
Pt7 0.5000 0.5000 0.7490



No. 10
# PBEsol Ag3Pt, optimized geometry
# * theoretical density: 13.41 g/cm³
# * magnetic moment: 0.000 μB/f.u.
# * energy of formation: 0.1 eV per formula unit
data_Ag3Pt
_symmetry_space_group_name_H-M 'P 63/m m c'
_symmetry_Int_Tables_number 194
_symmetry_space_group_name_Hall '-P 6c 2c'
_cell_length_a 5.6414
_cell_length_b 5.6414
_cell_length_c 4.6595
_cell_angle_alpha 90.00
_cell_angle_beta 90.00
_cell_angle_gamma 120.00
loop_
_atom_site_label
_atom_site_fract_x
_atom_site_fract_y
_atom_site_fract_z
Ag1 0.1678 0.3355 0.2500
Pt1 0.3333 0.6667 0.7500



No. 11
# PBEsol Ag4Pt5, optimized geometry
# * theoretical density: 16.69 g/cm³
# * magnetic moment: 0.002 μB/f.u.
# * energy of formation: 0.2 eV per formula unit
data_Ag4Pt5
_symmetry_space_group_name_H-M 'C 1 2/m 1'
_symmetry_Int_Tables_number 12
_symmetry_space_group_name_Hall '-C 2y'
_cell_length_a 9.2301
_cell_length_b 2.7607
_cell_length_c 11.7245
_cell_angle_alpha 90.00
_cell_angle_beta 110.48
_cell_angle_gamma 90.00
loop_
_atom_site_label
_atom_site_fract_x
_atom_site_fract_y
_atom_site_fract_z
Ag1 0.0604 0.0000 0.2224
Ag2 0.2209 0.5000 0.8864
Pt1 0.0000 0.5000 0.0000
Pt2 0.1156 0.5000 0.4446
Pt3 0.1565 0.0000 0.6591



No. 12
# PBEsol Ag5Pt7, optimized geometry
# * theoretical density: 17.01 g/cm³
# * magnetic moment: 0.001 μB/f.u.
# * energy of formation: 0.3 eV per formula unit
data_Ag5Pt7
_symmetry_space_group_name_H-M 'P -1'
_symmetry_Int_Tables_number 2
_symmetry_space_group_name_Hall '-P 1'
_cell_length_a 4.8384
_cell_length_b 6.2640
_cell_length_c 6.8697
_cell_angle_alpha 68.30
_cell_angle_beta 89.23
_cell_angle_gamma 74.89
loop_
_atom_site_label
_atom_site_fract_x
_atom_site_fract_y
_atom_site_fract_z
Ag1 0.0000 0.0000 0.0000
Ag2 0.1720 0.4953 0.1647
Ag3 0.2486 0.7510 0.7526
Pt1 0.0848 0.2531 0.5779
Pt2 0.3410 0.9885 0.3362
Pt3 0.4153 0.2441 0.9114
Pt4 0.5000 0.5000 0.5000



No. 13
# PBEsol Ag3Pt, optimized geometry
# * theoretical density: 13.39 g/cm³
# * magnetic moment: 0.000 μB/f.u.
# * energy of formation: 0.1 eV per formula unit
data_Ag3Pt
_symmetry_space_group_name_H-M 'P m m n'
_symmetry_Int_Tables_number 59
_cell_length_a 4.6650
_cell_length_b 5.6620
_cell_length_c 4.8696
_cell_angle_alpha 90.00
_cell_angle_beta 90.00
_cell_angle_gamma 90.00
loop_
_symmetry_equiv_pos_as_xyz
'x,y,z'
'-x,-y,-z'
'-x+1/2,-y+1/2,z'
'x+1/2,y+1/2,-z'
'x+1/2,-y,-z'
'-x+1/2,y,z'
'-x,y+1/2,-z'
'x,-y+1/2,z'
loop_
_atom_site_label
_atom_site_fract_x
_atom_site_fract_y
_atom_site_fract_z
Ag1 0.2500 0.0002 0.1700
Ag2 0.2500 0.2500 0.6641
Pt1 0.2500 0.7500 0.6734



No. 14
# PBEsol Ag5Pt7, optimized geometry
# * theoretical density: 17.01 g/cm³
# * magnetic moment: 0.001 μB/f.u.
# * energy of formation: 0.2 eV per formula unit
data_Ag5Pt7
_symmetry_space_group_name_H-M 'P 1 m 1'
_symmetry_Int_Tables_number 6
_symmetry_space_group_name_Hall 'P -2y'
_cell_length_a 8.3892
_cell_length_b 2.7635
_cell_length_c 8.4832
_cell_angle_alpha 90.00
_cell_angle_beta 108.98
_cell_angle_gamma 90.00
loop_
_atom_site_label
_atom_site_fract_x
_atom_site_fract_y
_atom_site_fract_z
Ag1 0.0000 0.0000 0.0000
Ag2 0.0816 0.5000 0.7413
Ag3 0.3282 0.0000 0.9950
Ag4 0.7519 0.5000 0.7506
Ag5 0.9157 0.5000 0.2462
Pt1 0.1723 0.0000 0.4959
Pt2 0.2521 0.5000 0.2503
Pt3 0.4193 0.5000 0.7413
Pt4 0.5028 0.0000 0.4919
Pt5 0.5849 0.5000 0.2510
Pt6 0.6547 0.0000 0.9977
Pt7 0.8330 0.0000 0.4956



No. 15
# PBEsol AgPt5, optimized geometry
# * theoretical density: 19.82 g/cm³
# * magnetic moment: 0.001 μB/f.u.
# * energy of formation: 0.1 eV per formula unit
data_AgPt5
_symmetry_space_group_name_H-M 'C m m m'
_symmetry_Int_Tables_number 65
_symmetry_space_group_name_Hall '-C 2 2'
_cell_length_a 3.9489
_cell_length_b 11.7764
_cell_length_c 3.9035
_cell_angle_alpha 90.00
_cell_angle_beta 90.00
_cell_angle_gamma 90.00
loop_
_atom_site_label
_atom_site_fract_x
_atom_site_fract_y
_atom_site_fract_z
Ag1 0.0000 0.0000 0.0000
Pt1 0.0000 0.1691 0.5000
Pt2 0.0000 0.3349 0.0000
Pt3 0.0000 0.5000 0.5000



No. 16
# PBEsol Ag5Pt7, optimized geometry
# * theoretical density: 16.99 g/cm³
# * magnetic moment: 0.001 μB/f.u.
# * energy of formation: 0.4 eV per formula unit
data_Ag5Pt7
_symmetry_space_group_name_H-M 'C m m 2'
_symmetry_Int_Tables_number 35
_symmetry_space_group_name_Hall 'C 2 -2'
_cell_length_a 3.9039
_cell_length_b 11.9759
_cell_length_c 7.9642
_cell_angle_alpha 90.00
_cell_angle_beta 90.00
_cell_angle_gamma 90.00
loop_
_atom_site_label
_atom_site_fract_x
_atom_site_fract_y
_atom_site_fract_z
Ag1 0.0000 0.0000 0.0000
Ag2 0.0000 0.0000 0.4953
Ag3 0.0000 0.3330 0.4966
Ag4 0.0000 0.5000 0.2465
Pt1 0.0000 0.1656 0.7513
Pt2 0.0000 0.1713 0.2369
Pt3 0.0000 0.3320 0.9928
Pt4 0.0000 0.5000 0.7513



No. 17
# PBEsol Ag5Pt, optimized geometry
# * theoretical density: 11.30 g/cm³
# * magnetic moment: 0.000 μB/f.u.
# * energy of formation: 2.5 eV per formula unit
data_Ag5Pt
_symmetry_space_group_name_H-M 'P 6/m m m'
_symmetry_Int_Tables_number 191
_symmetry_space_group_name_Hall '-P 6 2'
_cell_length_a 5.1761
_cell_length_b 5.1761
_cell_length_c 4.6535
_cell_angle_alpha 90.00
_cell_angle_beta 90.00
_cell_angle_gamma 120.00
loop_
_atom_site_label
_atom_site_fract_x
_atom_site_fract_y
_atom_site_fract_z
Ag1 0.0000 0.5000 0.0000
Ag2 0.3333 0.6667 0.5000
Pt1 0.0000 0.0000 0.5000



No. 18
# PBEsol AgPt5, optimized geometry
# * theoretical density: 19.75 g/cm³
# * magnetic moment: 0.008 μB/f.u.
# * energy of formation: 0.1 eV per formula unit
data_AgPt5
_symmetry_space_group_name_H-M 'P 4/m m m'
_symmetry_Int_Tables_number 123
_symmetry_space_group_name_Hall '-P 4 2'
_cell_length_a 2.7677
_cell_length_b 2.7677
_cell_length_c 11.8917
_cell_angle_alpha 90.00
_cell_angle_beta 90.00
_cell_angle_gamma 90.00
loop_
_atom_site_label
_atom_site_fract_x
_atom_site_fract_y
_atom_site_fract_z
Ag1 0.0000 0.0000 0.0000
Pt1 0.0000 0.0000 0.3368
Pt2 0.5000 0.5000 0.1733
Pt3 0.5000 0.5000 0.5000



No. 19
# PBEsol AgPt, optimized geometry
# * theoretical density: 16.10 g/cm³
# * magnetic moment: 0.000 μB/f.u.
# * energy of formation: 0.1 eV per formula unit
data_AgPt
_symmetry_space_group_name_H-M 'P 1 2 1'
_symmetry_Int_Tables_number 3
_symmetry_space_group_name_Hall 'P 2y'
_cell_length_a 4.8273
_cell_length_b 8.4755
_cell_length_c 4.8445
_cell_angle_alpha 90.00
_cell_angle_beta 108.96
_cell_angle_gamma 90.00
loop_
_atom_site_label
_atom_site_fract_x
_atom_site_fract_y
_atom_site_fract_z
Ag1 0.0000 0.0000 0.0000
Ag2 0.0000 0.1632 0.5000
Ag3 0.0000 0.3352 0.0000
Ag4 0.0000 0.5017 0.5000
Ag5 0.5000 0.3339 0.5000
Ag6 0.5000 0.8366 0.0000
Pt1 0.0000 0.6650 0.0000
Pt2 0.0000 0.8311 0.5000
Pt3 0.5000 0.1702 0.0000
Pt4 0.5000 0.5054 0.0000
Pt5 0.5000 0.6728 0.5000
Pt6 0.5000 0.9974 0.5000



No. 20
# PBEsol Ag3Pt, optimized geometry
# * theoretical density: 13.44 g/cm³
# * magnetic moment: 0.000 μB/f.u.
# * energy of formation: 0.0 eV per formula unit
data_Ag3Pt
_symmetry_space_group_name_H-M 'C 1 2/m 1'
_symmetry_Int_Tables_number 12
_symmetry_space_group_name_Hall '-C 2y'
_cell_length_a 9.3919
_cell_length_b 2.8256
_cell_length_c 4.9039
_cell_angle_alpha 90.00
_cell_angle_beta 100.07
_cell_angle_gamma 90.00
loop_
_atom_site_label
_atom_site_fract_x
_atom_site_fract_y
_atom_site_fract_z
Ag1 0.0000 0.0000 0.0000
Ag2 0.2476 0.0000 0.7471
Pt1 0.0000 0.5000 0.5000



No. 21
# PBEsol Ag5Pt7, optimized geometry
# * theoretical density: 17.04 g/cm³
# * magnetic moment: 0.000 μB/f.u.
# * energy of formation: 0.0 eV per formula unit
data_Ag5Pt7
_symmetry_space_group_name_H-M 'P m m m'
_symmetry_Int_Tables_number 47
_symmetry_space_group_name_Hall '-P 2 2'
_cell_length_a 2.7650
_cell_length_b 7.8743
_cell_length_c 8.5272
_cell_angle_alpha 90.00
_cell_angle_beta 90.00
_cell_angle_gamma 90.00
loop_
_atom_site_label
_atom_site_fract_x
_atom_site_fract_y
_atom_site_fract_z
Ag1 0.0000 0.0000 0.0000
Ag2 0.0000 0.5000 0.3374
Ag3 0.5000 0.2396 0.5000
Pt1 0.0000 0.0000 0.3205
Pt2 0.0000 0.5000 0.0000
Pt3 0.5000 0.2538 0.1650



No. 22
# PBEsol Ag5Pt7, optimized geometry
# * theoretical density: 17.03 g/cm³
# * magnetic moment: 0.000 μB/f.u.
# * energy of formation: 0.4 eV per formula unit
data_Ag5Pt7
_symmetry_space_group_name_H-M 'P 1'
_symmetry_Int_Tables_number 1
_symmetry_space_group_name_Hall 'P 1'
_cell_length_a 4.8446
_cell_length_b 5.5793
_cell_length_c 7.4309
_cell_angle_alpha 79.56
_cell_angle_beta 77.24
_cell_angle_gamma 72.92
loop_
_atom_site_label
_atom_site_fract_x
_atom_site_fract_y
_atom_site_fract_z
Ag1 0.0000 0.0000 0.0000
Ag2 0.0000 0.4998 0.0005
Ag3 0.4982 0.8329 0.1682
Ag4 0.5037 0.6673 0.8347
Ag5 0.9926 0.1658 0.3317
Pt1 0.0027 0.8360 0.6630
Pt2 0.0109 0.3309 0.6647
Pt3 0.4872 0.3338 0.1691
Pt4 0.4928 0.5007 0.5015
Pt5 0.5016 0.9987 0.5033
Pt6 0.5119 0.1698 0.8296
Pt7 0.9936 0.6627 0.3413



No. 23
# PBEsol Ag3Pt, optimized geometry
# * theoretical density: 13.44 g/cm³
# * magnetic moment: 0.000 μB/f.u.
# * energy of formation: 0.0 eV per formula unit
data_Ag3Pt
_symmetry_space_group_name_H-M 'A m m 2'
_symmetry_Int_Tables_number 38
_symmetry_space_group_name_Hall 'A 2 -2'
_cell_length_a 2.8117
_cell_length_b 17.0451
_cell_length_c 8.0230
_cell_angle_alpha 90.00
_cell_angle_beta 90.00
_cell_angle_gamma 90.00
loop_
_atom_site_label
_atom_site_fract_x
_atom_site_fract_y
_atom_site_fract_z
Ag1 0.0000 0.0000 0.9997
Ag2 0.0000 0.1643 0.0000
Ag3 0.0000 0.1667 0.5059
Ag4 0.5000 0.0817 0.2588
Ag5 0.5000 0.2492 0.2529
Pt1 0.0000 0.0000 0.5132
Pt2 0.5000 0.0827 0.7501